A relaxed BaTa2Se crystal, computed with PBE.

Structure (extended XYZ):
```
4
Lattice="-3.602 1.901 1.469 0.110 -2.019 2.883 3.813 3.724 4.532" Properties=species:S:1:pos:R:3 pbc="T T T"
Ba 2.183 1.009 4.047
Se 1.355 2.096 6.991
Ta 0.278 -1.411 2.508
Ta -1.423 0.744 1.930
```

M_tot: 0.0 μB per formula unit
SG: Pm (6)
Energy relative to the elements, uncorrected: -0.029 eV per atom
Fermi-level density of states: 0.65 states/eV per atom
ρ: 9.28 g cm⁻³
V: 103.5 Å³ per cell

A relaxed BaTaSe crystal, computed with PBE.

Structure (extended XYZ):
```
3
Lattice="-5.511 -3.735 -1.595 -3.438 -5.916 0.227 -2.130 0.299 2.783" Properties=species:S:1:pos:R:3 pbc="T T T"
Ba -2.184 0.220 2.750
Se -4.067 -2.528 1.603
Ta -6.957 -6.745 -0.156
```

M_tot: 0.0 μB per formula unit
SG: I4mm (107)
Energy relative to the elements, uncorrected: -0.133 eV per atom
Polymorph energy (0 for the lowest one): 0.000 eV per atom
Fermi-level density of states: 0.48 states/eV per atom
ρ: 8.36 g cm⁻³
V: 78.9 Å³ per cell